The following is a GGA-PBE calculation of a relaxed structure of NdYCuRh, from the Alexandria database.

a = 4.9757 Å, b = 4.9757 Å, c = 4.9757 Å
α = 60.00°, β = 60.00°, γ = 60.00°
Last column: nearest neighbours and their distance in Å.
Fractional coordinates of all 4 atoms:
Cu1 0.0000 0.0000 0.0000  4 Y 3.05, 4 Nd 3.05
Nd1 0.2500 0.2500 0.2500  4 Cu 3.05, 4 Rh 3.05
Rh1 0.5000 0.5000 0.5000  4 Y 3.05, 4 Nd 3.05
Y1 0.7500 0.7500 0.7500  4 Cu 3.05, 4 Rh 3.05

Values from the calculation:
electronic total energy: -24.56 eV for the cell shown
energy above the lowest structure with this stoichiometry: 38 meV per atom
total moment: 0.00 Bohr magnetons per cell